Entry from the Alexandria database: a relaxed structure of SrBe2B2O6 (GGA-PBEsol).

Properties
Its density is 3.3 g/cm³. For the uncorrected formation energy, the calculation gives -2.75 eV/atom. Its space-group type is P2_1/c. Its total energy is -342.37 eV/cell.

Structure (POSCAR):
```
SrBe2B2O6
1.0
-0.748 -3.509 -2.701
7.267 -4.370 3.665
-9.832 -2.267 5.667
O B Be Sr
24 8 8 4
Cartesian
-6.465 -5.613 4.395 O
-5.215 -2.623 3.897 O
3.152 -4.532 2.235 O
-0.716 -4.721 -0.564 O
-8.694 -6.606 3.588 O
-1.013 -4.578 5.364 O
-2.597 -5.425 7.195 O
-3.275 -4.294 -0.901 O
-1.574 -3.324 1.592 O
-5.654 -4.708 6.471 O
2.341 -5.437 0.160 O
0.887 -4.212 1.573 O
-1.739 -6.822 5.039 O
-0.038 -5.852 7.532 O
5.381 -3.539 3.043 O
-3.382 -7.943 6.658 O
-6.077 -3.770 1.636 O
-2.300 -5.568 1.266 O
0.069 -2.203 -0.028 O
0.216 -5.964 3.890 O
-3.529 -4.181 2.741 O
1.902 -7.523 2.733 O
2.765 -6.376 4.995 O
-4.200 -5.933 5.057 O
2.144 -4.703 1.327 B
-0.828 -5.803 4.753 B
-6.688 -4.977 1.308 B
3.375 -5.168 5.323 B
0.684 -1.405 0.918 B
-3.997 -8.740 5.713 B
-5.457 -5.442 5.304 B
-2.485 -4.343 1.878 B
-4.773 -3.214 2.480 Be
4.007 -3.184 2.311 Be
-0.258 -3.658 0.607 Be
-7.320 -6.961 4.320 Be
-1.495 -1.869 2.358 Be
1.460 -6.932 4.151 Be
-1.818 -8.276 4.273 Be
-3.055 -6.487 6.024 Be
-8.130 -3.900 3.767 Sr
0.757 -3.369 3.984 Sr
-4.070 -6.777 2.647 Sr
4.817 -6.246 2.864 Sr
```